<i>
CeZrIr | PBE-GGA | relaxed

Properties
Calculated density = 9.8 g/cm3

Cell: 4.659 4.659 6.618 Å, 90.00 90.00 90.00°
Space group P4/nmm (No. 129, origin choice 2)
Unique sites:
Ce 0.250 0.250 0.125 (multiplicity 2)
Zr 0.250 0.750 0.500 (multiplicity 2)
Ir 0.250 0.250 0.716 (multiplicity 2)

***

<ii>
CeZrIr | PBE-GGA | relaxed

Properties
Calculated density = 9.4 g/cm3

Cell: 11.9098 11.9098 10.9250 Å, 90.00 90.00 120.00°
Space group R-3 (No. 148, hexagonal axes)
Unique sites:
Ce 0.0382 0.8492 0.3938 (multiplicity 18)
Zr 0.0318 0.8119 0.8984 (multiplicity 18)
Ir 0.0409 0.7851 0.1477 (multiplicity 18)

***

<iii>
CeZrIr | PBE-GGA | relaxed

Properties
Calculated density = 9.5 g/cm3

Cell: 6.673 6.673 6.673 Å, 90.00 90.00 90.00°
Space group F-43m (No. 216)
Unique sites:
Ce 0.000 0.000 0.000 (multiplicity 4)
Zr 0.000 0.000 0.500 (multiplicity 4)
Ir 0.250 0.250 0.750 (multiplicity 4)

***

Stability, highest: <i>

***

<i>
KCePb2 | PBE-GGA | relaxed

Properties
Calculated density = 7.5 g/cm3

Cell: 3.586 3.586 10.177 Å, 90.00 90.00 90.00°
Space group P4/mmm (No. 123)
Unique sites:
K 0.000 0.000 0.000 (multiplicity 1)
Ce 0.000 0.000 0.500 (multiplicity 1)
Pb 0.500 0.500 0.270 (multiplicity 2)

***

<ii>
KCePb2 | PBE-GGA | relaxed

Properties
Calculated density = 7.5 g/cm3

Cell: 8.066 8.066 8.066 Å, 90.00 90.00 90.00°
Space group Fm-3m (No. 225)
Unique sites:
K 0.000 0.000 0.000 (multiplicity 4)
Ce 0.000 0.000 0.500 (multiplicity 4)
Pb 0.250 0.250 0.250 (multiplicity 8)

***

<iii>
KCePb2 | PBE-GGA | relaxed

Properties
Calculated density = 7.7 g/cm3

Cell: 6.139 6.139 3.413 Å, 90.00 90.00 90.00°
Space group P4/mmm (No. 123)
Unique sites:
K 0.000 0.000 0.000 (multiplicity 1)
Ce 0.500 0.500 0.000 (multiplicity 1)
Pb 0.000 0.500 0.500 (multiplicity 2)

***

Stability, highest: <i>

***

<i>
KCeS3 | PBE-GGA | relaxed

Properties
Calculated density = 2.5 g/cm3

Cell: 25.144 4.124 7.160 Å, 90.00 102.45 90.00°
Space group C2/m (No. 12)
Unique sites:
K 0.091 0.000 0.114 (multiplicity 4)
Ce 0.242 0.500 0.741 (multiplicity 4)
S 0.005 0.500 0.863 (multiplicity 4)
S 0.190 0.000 0.518 (multiplicity 4)
S 0.195 0.500 0.059 (multiplicity 4)

***

<ii>
KCeS3 | PBE-GGA | relaxed

Properties
Calculated density = 3.0 g/cm3

Cell: 5.357 5.357 5.357 Å, 90.00 90.00 90.00°
Space group Pm-3m (No. 221)
Unique sites:
K 0.000 0.000 0.000 (multiplicity 1)
Ce 0.500 0.500 0.500 (multiplicity 1)
S 0.000 0.500 0.500 (multiplicity 3)

***

Stability, highest: <i>

***

<i>
KCeSe3 | PBE-GGA | relaxed

Properties
Calculated density = 3.9 g/cm3

Cell: 5.597 5.597 5.597 Å, 90.00 90.00 90.00°
Space group Pm-3m (No. 221)
Unique sites:
K 0.000 0.000 0.000 (multiplicity 1)
Ce 0.500 0.500 0.500 (multiplicity 1)
Se 0.000 0.500 0.500 (multiplicity 3)

***

<ii>
KCeSe3 | PBE-GGA | relaxed

Properties
Calculated density = 4.0 g/cm3

Cell: 17.653 4.326 10.060 Å, 90.00 115.30 90.00°
Space group C2/m (No. 12)
Unique sites:
K 0.115 0.000 0.306 (multiplicity 4)
Ce 0.182 0.500 0.799 (multiplicity 4)
Se 0.004 0.500 0.620 (multiplicity 4)
Se 0.149 0.000 0.962 (multiplicity 4)
Se 0.230 0.000 0.670 (multiplicity 4)

***

Stability, highest: <ii>